# PBE CsRbTa, optimized geometry
data_CsRbTa
_cell_length_a 6.358
_cell_length_b 6.358
_cell_length_c 6.358
_cell_angle_alpha 60.00
_cell_angle_beta 60.00
_cell_angle_gamma 60.00
_space_group_name_H-M_alt 'P 1'
_space_group_IT_number 1
_space_group_name_Hall 'P 1'
loop_
_atom_site_label
_atom_site_fract_x
_atom_site_fract_y
_atom_site_fract_z
Cs1 0.250 0.250 0.250
Rb1 0.750 0.750 0.750
Ta1 0.000 0.000 0.000
# * raw total energy: -0.191 Ry/atom
# * spin magnetization: 5.00 μB/cell
# * energy above the lowest structure with this stoichiometry: 0.0 meV per atom